CdPbAu after structural relaxation. Source: Alexandria via LeMat-Bulk, functional PBE.

E = -2.664 eV/atom
Total magnetic moment = 0.000 μB per atom
ΔH_f (0 K) = -9 kJ/mol of formula units

CIF file:
```
data_CdPbAu
_space_group_name_H-M_alt 'P 3 m 1'
_space_group_IT_number 156
_cell_length_a 4.7831
_cell_length_b 4.7831
_cell_length_c 3.7828
_cell_angle_alpha 90.00
_cell_angle_beta 90.00
_cell_angle_gamma 120.00
loop_
_space_group_symop_operation_xyz
'x,y,z'
'-y,x-y,z'
'-x+y,-x,z'
'-y,-x,z'
'-x+y,y,z'
'x,x-y,z'
loop_
_atom_site_label
_atom_site_type_symbol
_atom_site_fract_x
_atom_site_fract_y
_atom_site_fract_z
Cd1 Cd 0.0000 0.0000 0.0000
Pb1 Pb 0.6667 0.3333 0.4686
Au1 Au 0.3333 0.6667 0.8826
```

---

Cd6PbAu6 after structural relaxation. Source: Alexandria via LeMat-Bulk, functional PBE.

E = -2.362 eV/atom
Total magnetic moment = 0.000 μB per atom
ΔH_f (0 K) = -178 kJ/mol of formula units

CIF file:
```
data_Cd6PbAu6
_space_group_name_H-M_alt 'I m m m'
_space_group_IT_number 71
_space_group_name_Hall '-I 2 2'
_cell_length_a 5.715
_cell_length_b 9.726
_cell_length_c 9.893
_cell_angle_alpha 90.00
_cell_angle_beta 90.00
_cell_angle_gamma 90.00
loop_
_atom_site_label
_atom_site_type_symbol
_atom_site_fract_x
_atom_site_fract_y
_atom_site_fract_z
Cd1 Cd 0.000 0.000 0.156
Cd2 Cd 0.000 0.345 0.500
Cd3 Cd 0.000 0.500 0.181
Pb1 Pb 0.000 0.000 0.500
Au1 Au 0.000 0.261 0.000
Au2 Au 0.250 0.250 0.250
```

---

Cd8Pb2Au after structural relaxation. Source: Alexandria via LeMat-Bulk, functional PBE.

E = -1.584 eV/atom
Total magnetic moment = 0.000 μB per atom
ΔH_f (0 K) = 58 kJ/mol of formula units

CIF file:
```
data_Cd8Pb2Au
_space_group_name_H-M_alt 'C 1 2/m 1'
_space_group_IT_number 12
_cell_length_a 11.540
_cell_length_b 9.193
_cell_length_c 6.027
_cell_angle_alpha 90.00
_cell_angle_beta 111.40
_cell_angle_gamma 90.00
loop_
_space_group_symop_operation_xyz
'x,y,z'
'-x,-y,-z'
'-x,y,-z'
'x,-y,z'
'x+1/2,y+1/2,z'
'-x+1/2,-y+1/2,-z'
'-x+1/2,y+1/2,-z'
'x+1/2,-y+1/2,z'
loop_
_atom_site_label
_atom_site_type_symbol
_atom_site_fract_x
_atom_site_fract_y
_atom_site_fract_z
Cd1 Cd 0.043 0.000 0.291
Cd2 Cd 0.131 0.232 0.027
Cd3 Cd 0.227 0.000 0.763
Pb1 Pb 0.154 0.500 0.634
Au1 Au 0.000 0.500 0.000
```

---

Cd3PbAu after structural relaxation. Source: Alexandria via LeMat-Bulk, functional PBE.

E = -1.925 eV/atom
Total magnetic moment = 0.000 μB per atom
ΔH_f (0 K) = 10 kJ/mol of formula units

CIF file:
```
data_Cd3PbAu
_space_group_name_H-M_alt 'P 63/m m c'
_space_group_IT_number 194
_space_group_name_Hall '-P 6c 2c'
_cell_length_a 7.0380
_cell_length_b 7.0380
_cell_length_c 5.8965
_cell_angle_alpha 90.00
_cell_angle_beta 90.00
_cell_angle_gamma 120.00
loop_
_atom_site_label
_atom_site_type_symbol
_atom_site_fract_x
_atom_site_fract_y
_atom_site_fract_z
Cd1 Cd 0.1951 0.3901 0.2500
Pb1 Pb 0.3333 0.6667 0.7500
Au1 Au 0.0000 0.0000 0.0000
```

---

Cd9PbAu2 after structural relaxation. Source: Alexandria via LeMat-Bulk, functional PBE.

E = -1.594 eV/atom
Total magnetic moment = 0.000 μB per atom
ΔH_f (0 K) = -61 kJ/mol of formula units

CIF file:
```
data_Cd9PbAu2
_space_group_name_H-M_alt 'I 41/a m d'
_space_group_IT_number 141
_cell_length_a 12.011
_cell_length_b 12.011
_cell_length_c 7.626
_cell_angle_alpha 90.00
_cell_angle_beta 90.00
_cell_angle_gamma 90.00
loop_
_space_group_symop_operation_xyz
'x,y,z'
'-x,-y,-z'
'-y+1/4,x+3/4,z+1/4'
'y+1/4,-x+3/4,-z+1/4'
'-x+1/2,-y,z+1/2'
'x+1/2,y,-z+1/2'
'y+1/4,-x+1/4,z+3/4'
'-y+1/4,x+1/4,-z+3/4'
'x,-y,-z'
'-x,y,z'
'-y+1/4,-x+1/4,-z+3/4'
'y+1/4,x+1/4,z+3/4'
'-x+1/2,y,-z+1/2'
'x+1/2,-y,z+1/2'
'y+1/4,x+3/4,-z+1/4'
'-y+1/4,-x+3/4,z+1/4'
'x+1/2,y+1/2,z+1/2'
'-x+1/2,-y+1/2,-z+1/2'
'-y+3/4,x+1/4,z+3/4'
'y+3/4,-x+1/4,-z+3/4'
'-x,-y+1/2,z'
'x,y+1/2,-z'
'y+3/4,-x+3/4,z+1/4'
'-y+3/4,x+3/4,-z+1/4'
'x+1/2,-y+1/2,-z+1/2'
'-x+1/2,y+1/2,z+1/2'
'-y+3/4,-x+3/4,-z+1/4'
'y+3/4,x+3/4,z+1/4'
'-x,y+1/2,-z'
'x,-y+1/2,z'
'y+3/4,x+1/4,-z+3/4'
'-y+3/4,-x+1/4,z+3/4'
loop_
_atom_site_label
_atom_site_type_symbol
_atom_site_fract_x
_atom_site_fract_y
_atom_site_fract_z
Cd1 Cd 0.000 0.250 0.375
Cd2 Cd 0.121 0.049 0.177
Pb1 Pb 0.000 0.250 0.875
Au1 Au 0.000 0.000 0.500
```

---

CdPb4Au after structural relaxation. Source: Alexandria via LeMat-Bulk, functional PBE.

E = -2.851 eV/atom
Total magnetic moment = 0.000 μB per atom
ΔH_f (0 K) = 185 kJ/mol of formula units

CIF file:
```
data_CdPb4Au
_space_group_name_H-M_alt 'F -4 3 m'
_space_group_IT_number 216
_space_group_name_Hall 'F -4 2 3'
_cell_length_a 9.056
_cell_length_b 9.056
_cell_length_c 9.056
_cell_angle_alpha 90.00
_cell_angle_beta 90.00
_cell_angle_gamma 90.00
loop_
_atom_site_label
_atom_site_type_symbol
_atom_site_fract_x
_atom_site_fract_y
_atom_site_fract_z
Cd1 Cd 0.000 0.000 0.000
Pb1 Pb 0.125 0.125 0.625
Au1 Au 0.250 0.250 0.250
```

---

Cd2PbAu3 after structural relaxation. Source: Alexandria via LeMat-Bulk, functional PBE.

E = -2.675 eV/atom
Total magnetic moment = 0.000 μB per atom
ΔH_f (0 K) = -65 kJ/mol of formula units

CIF file:
```
data_Cd2PbAu3
_space_group_name_H-M_alt 'P 4/m m m'
_space_group_IT_number 123
_space_group_name_Hall '-P 4 2'
_cell_length_a 3.486
_cell_length_b 3.486
_cell_length_c 10.477
_cell_angle_alpha 90.00
_cell_angle_beta 90.00
_cell_angle_gamma 90.00
loop_
_atom_site_label
_atom_site_type_symbol
_atom_site_fract_x
_atom_site_fract_y
_atom_site_fract_z
Cd1 Cd 0.000 0.000 0.156
Pb1 Pb 0.000 0.000 0.500
Au1 Au 0.500 0.500 0.000
Au2 Au 0.500 0.500 0.306
```

---

CdPb2Au3 after structural relaxation. Source: Alexandria via LeMat-Bulk, functional PBE.

E = -3.043 eV/atom
Total magnetic moment = 0.000 μB per atom
ΔH_f (0 K) = -9 kJ/mol of formula units

CIF file:
```
data_CdPb2Au3
_space_group_name_H-M_alt 'P -1'
_space_group_IT_number 2
_cell_length_a 5.497
_cell_length_b 7.539
_cell_length_c 8.222
_cell_angle_alpha 105.90
_cell_angle_beta 106.25
_cell_angle_gamma 95.46
loop_
_space_group_symop_operation_xyz
'x,y,z'
'-x,-y,-z'
loop_
_atom_site_label
_atom_site_type_symbol
_atom_site_fract_x
_atom_site_fract_y
_atom_site_fract_z
Cd1 Cd 0.111 0.451 0.172
Pb1 Pb 0.143 0.200 0.685
Pb2 Pb 0.385 0.807 0.794
Au1 Au 0.159 0.154 0.325
Au2 Au 0.293 0.814 0.150
Au3 Au 0.500 0.500 0.000
Au4 Au 0.500 0.500 0.500
```

---

Cd4Pb3Au4 after structural relaxation. Source: Alexandria via LeMat-Bulk, functional PBE.

E = -2.633 eV/atom
Total magnetic moment = 0.000 μB per atom
ΔH_f (0 K) = -104 kJ/mol of formula units

CIF file:
```
data_Cd4Pb3Au4
_space_group_name_H-M_alt 'I m m m'
_space_group_IT_number 71
_space_group_name_Hall '-I 2 2'
_cell_length_a 3.997
_cell_length_b 8.324
_cell_length_c 16.063
_cell_angle_alpha 90.00
_cell_angle_beta 90.00
_cell_angle_gamma 90.00
loop_
_atom_site_label
_atom_site_type_symbol
_atom_site_fract_x
_atom_site_fract_y
_atom_site_fract_z
Cd1 Cd 0.000 0.189 0.169
Pb1 Pb 0.000 0.000 0.396
Pb2 Pb 0.000 0.500 0.500
Au1 Au 0.000 0.285 0.000
Au2 Au 0.000 0.500 0.253
```

---

CdPb4Au after structural relaxation. Source: Alexandria via LeMat-Bulk, functional PBE.

E = -3.170 eV/atom
Total magnetic moment = 0.000 μB per atom
ΔH_f (0 K) = 1 kJ/mol of formula units

CIF file:
```
data_CdPb4Au
_space_group_name_H-M_alt 'C 1 2/c 1'
_space_group_IT_number 15
_cell_length_a 9.194
_cell_length_b 13.756
_cell_length_c 6.028
_cell_angle_alpha 90.00
_cell_angle_beta 113.80
_cell_angle_gamma 90.00
loop_
_space_group_symop_operation_xyz
'x,y,z'
'-x,-y,-z'
'-x,y,-z+1/2'
'x,-y,z+1/2'
'x+1/2,y+1/2,z'
'-x+1/2,-y+1/2,-z'
'-x+1/2,y+1/2,-z+1/2'
'x+1/2,-y+1/2,z+1/2'
loop_
_atom_site_label
_atom_site_type_symbol
_atom_site_fract_x
_atom_site_fract_y
_atom_site_fract_z
Cd1 Cd 0.000 0.127 0.250
Pb1 Pb 0.128 0.322 0.601
Pb2 Pb 0.207 0.074 0.835
Au1 Au 0.000 0.485 0.250
```

---

Cd2Pb2Au15 after structural relaxation. Source: Alexandria via LeMat-Bulk, functional PBE.

E = -3.105 eV/atom
Total magnetic moment = 0.000 μB per atom
ΔH_f (0 K) = -56 kJ/mol of formula units

CIF file:
```
data_Cd2Pb2Au15
_space_group_name_H-M_alt 'R -3 m'
_space_group_IT_number 166
_space_group_name_Hall '-R 3 2"'
_cell_length_a 9.7505
_cell_length_b 9.7505
_cell_length_c 14.3372
_cell_angle_alpha 90.00
_cell_angle_beta 90.00
_cell_angle_gamma 120.00
loop_
_atom_site_label
_atom_site_type_symbol
_atom_site_fract_x
_atom_site_fract_y
_atom_site_fract_z
Cd1 Cd 0.0000 0.0000 0.1070
Pb1 Pb 0.0000 0.0000 0.3605
Au1 Au 0.0000 0.3060 0.0000
Au2 Au 0.0000 0.5000 0.5000
Au3 Au 0.0050 0.5025 0.1522
```

---

CdPbAu after structural relaxation. Source: Alexandria via LeMat-Bulk, functional PBE.

E = -2.679 eV/atom
Total magnetic moment = 0.000 μB per atom
ΔH_f (0 K) = -13 kJ/mol of formula units

CIF file:
```
data_CdPbAu
_space_group_name_H-M_alt 'I 4 m m'
_space_group_IT_number 107
_space_group_name_Hall 'I 4 -2'
_cell_length_a 3.412
_cell_length_b 3.412
_cell_length_c 12.429
_cell_angle_alpha 90.00
_cell_angle_beta 90.00
_cell_angle_gamma 90.00
loop_
_atom_site_label
_atom_site_type_symbol
_atom_site_fract_x
_atom_site_fract_y
_atom_site_fract_z
Cd1 Cd 0.000 0.000 0.000
Pb1 Pb 0.000 0.000 0.701
Au1 Au 0.000 0.000 0.369
```

---

The lowest E belongs to which entry? number 10